*1*
Material: CdTe2P
Method: DFT, GGA-PBEsol
State: relaxed

extended XYZ file:
```
4
Lattice="2.1171 1.2223 8.1951 -2.1171 1.2223 8.1951 0.0000 -2.4447 8.1951" Properties=species:S:1:pos:R:3 pbc="T T T"
Cd 0.0000 0.0000 0.0000
Te 0.0000 0.0000 9.8192
Te 0.0000 0.0000 14.7660
P 0.0000 0.0000 12.2926
```

=====

*2*
Material: CdTe2P
Method: DFT, GGA-PBEsol
State: relaxed

extended XYZ file:
```
4
Lattice="1.8110 1.0456 9.6660 -1.8110 1.0456 9.6660 0.0000 -2.0912 9.6660" Properties=species:S:1:pos:R:3 pbc="T T T"
Cd 0.0000 0.0000 0.0000
Te 0.0000 0.0000 3.1043
Te 0.0000 0.0000 25.8937
P 0.0000 0.0000 14.4990
```

=====

*3*
Material: CdTe2P
Method: DFT, GGA-PBEsol
State: relaxed

extended XYZ file:
```
4
Lattice="3.5600 -2.0591 0.0000 3.5600 2.0591 0.0000 -2.3968 0.0000 6.7701" Properties=species:S:1:pos:R:3 pbc="T T T"
Cd 0.0000 0.0000 0.0000
Te -0.0130 0.0000 4.9288
Te 4.7362 0.0000 1.8413
P 2.3616 0.0000 3.3850
```

=====

Energies, relative to the best one, in meV/atom: *1* 384; *2* 204; *3* 0.

=====

*1*
Material: TlCdP2
Method: DFT, GGA-PBEsol
State: relaxed

extended XYZ file:
```
4
Lattice="1.9405 -2.3797 0.0000 1.9405 2.3797 0.0000 0.0000 0.0000 8.7977" Properties=species:S:1:pos:R:3 pbc="T T T"
Tl 0.0000 0.0000 0.0000
Cd 0.0000 0.0000 4.3988
P 1.9405 0.0000 2.4759
P 1.9405 0.0000 6.3218
```

=====

*2*
Material: TlCdP2
Method: DFT, GGA-PBEsol
State: relaxed

extended XYZ file:
```
4
Lattice="-1.6097 2.7433 4.9434 1.6097 -2.7433 4.9434 1.6097 2.7433 -4.9434" Properties=species:S:1:pos:R:3 pbc="T T T"
Tl 0.0000 0.0000 0.0000
Cd 1.6097 0.0000 2.9096
P 0.0000 0.0000 5.4953
P 0.0000 2.7433 2.0312
```

=====

*3*
Material: TlCdP2
Method: DFT, GGA-PBEsol
State: relaxed

extended XYZ file:
```
4
Lattice="5.3187 0.0000 0.0000 0.0000 5.3187 0.0000 0.0000 0.0000 2.8506" Properties=species:S:1:pos:R:3 pbc="T T T"
Tl 0.0000 0.0000 0.0000
Cd 2.6594 2.6594 0.0000
P 0.0000 2.6594 1.4253
P 2.6594 0.0000 1.4253
```

=====

Energies, relative to the best one, in meV/atom: *1* 307; *2* 0; *3* 352.

=====

*1*
Material: Y2CdP
Method: DFT, GGA-PBEsol
State: relaxed

extended XYZ file:
```
4
Lattice="4.1170 0.0000 0.0000 0.0000 4.1170 0.0000 0.0000 0.0000 5.8303" Properties=species:S:1:pos:R:3 pbc="T T T"
Y 0.0000 0.0000 0.0000
Y 2.0585 2.0585 2.9152
Cd 0.0000 0.0000 2.9152
P 2.0585 2.0585 0.0000
```

=====

*2*
Material: Y2CdP
Method: DFT, GGA-PBEsol
State: relaxed

extended XYZ file:
```
4
Lattice="1.9314 1.1151 7.6987 -1.9314 1.1151 7.6987 0.0000 -2.2302 7.6987" Properties=species:S:1:pos:R:3 pbc="T T T"
Y 0.0000 0.0000 5.4256
Y 0.0000 0.0000 17.6704
Cd 0.0000 0.0000 0.0000
P 0.0000 0.0000 11.5480
```

=====

*3*
Material: Y2CdP
Method: DFT, GGA-PBEsol
State: relaxed

extended XYZ file:
```
4
Lattice="4.0045 0.0000 0.0000 0.0000 2.0839 5.4699 0.0000 -2.0839 5.4699" Properties=species:S:1:pos:R:3 pbc="T T T"
Y 0.0000 0.0000 0.0000
Y 2.0022 0.0000 3.1683
Cd 2.0022 0.0000 6.2466
P 0.0000 0.0000 8.1017
```

=====

Energies, relative to the best one, in meV/atom: *1* 261; *2* 0; *3* 111.

=====

*1*
Material: ZnCdP
Method: DFT, GGA-PBEsol
State: relaxed

extended XYZ file:
```
3
Lattice="-1.5000 1.5000 5.7097 1.5000 -1.5000 5.7097 1.5000 1.5000 -5.7097" Properties=species:S:1:pos:R:3 pbc="T T T"
Zn 0.0000 0.0000 0.0000
Cd 0.0000 0.0000 7.7610
P 0.0000 0.0000 4.1795
```

=====

*2*
Material: ZnCdP
Method: DFT, GGA-PBEsol
State: relaxed

extended XYZ file:
```
3
Lattice="-1.7171 1.7171 5.3061 1.7171 -1.7171 5.3061 1.7171 1.7171 -5.3061" Properties=species:S:1:pos:R:3 pbc="T T T"
Zn 0.0000 0.0000 0.0000
Cd 0.0000 0.0000 7.9810
P 0.0000 0.0000 5.4122
```

=====

Energies, relative to the best one, in meV/atom: *1* 18; *2* 0.